Below is a geometry-optimized Cu3Mo4 structure, with properties calculated at the PBE-GGA level.

The structure belongs to space group P6/mmm (No. 191); the cell edges are 4.8175, 4.8175 and 4.9102 Å and the angles 90.00°, 90.00° and 120.00°. The distinct sites, in fractional coordinates, are Cu at (0.0000, 0.5000, 0.0000), Mo at (0.0000, 0.0000, 0.2629) and Mo at (0.3333, 0.6667, 0.5000).

For the excess energy over the best structure of this formula in the dataset, the calculation gives 0.0 kJ/mol of atoms.